Entry 1:
! PBE TbCe2ScS4, relaxed; values from VASP
! Space-group type = No. 10
! Uncorrected formation energy = -191.07 kJ/mol of atoms
! D(E_F) = 11.031 states/eV/cell
&SYSTEM
  ibrav = 0, nat = 8, ntyp = 4
/
ATOMIC_SPECIES
S 32.06 S.upf
Sc 44.96 Sc.upf
Ce 140.12 Ce.upf
Tb 158.93 Tb.upf
CELL_PARAMETERS angstrom
-3.875 -0.108 -0.339
-0.164 -5.662 3.677
-0.518 5.414 4.194
ATOMIC_POSITIONS crystal
S 0.000 0.246 0.766
Sc 0.000 0.000 0.000
Ce 0.500 0.000 0.500
S 0.500 0.234 0.229
Ce 0.000 0.500 0.500
S 0.000 0.754 0.234
Tb 0.500 0.500 0.000
S 0.500 0.766 0.771

Entry 2:
! PBE TbCe3Sc2S6, relaxed; values from VASP
! Space-group type = No. 12
! Uncorrected formation energy = -189.92 kJ/mol of atoms
! D(E_F) = 16.261 states/eV/cell
&SYSTEM
  ibrav = 0, nat = 12, ntyp = 4
/
ATOMIC_SPECIES
S 32.06 S.upf
Ce 140.12 Ce.upf
Sc 44.96 Sc.upf
Tb 158.93 Tb.upf
CELL_PARAMETERS angstrom
6.706 -0.003 -0.002
-3.354 5.807 -0.002
-1.120 -1.939 6.470
ATOMIC_POSITIONS crystal
S 0.269 0.269 0.774
S 0.731 0.731 0.226
Ce 0.163 0.837 0.500
S 0.924 0.580 0.770
Sc 0.333 0.667 0.000
S 0.420 0.076 0.230
S 0.580 0.924 0.770
Sc 0.667 0.333 0.000
Tb 0.000 0.000 0.000
S 0.076 0.420 0.230
Ce 0.837 0.163 0.500
Ce 0.500 0.500 0.500

Entry 3:
! PBE Tb3Ce4ScS8, relaxed; values from VASP
! Space-group type = No. 166
! Uncorrected formation energy = -193.60 kJ/mol of atoms
! D(E_F) = 21.632 states/eV/cell
&SYSTEM
  ibrav = 0, nat = 16, ntyp = 4
/
ATOMIC_SPECIES
S 32.06 S.upf
Ce 140.12 Ce.upf
Tb 158.93 Tb.upf
Sc 44.96 Sc.upf
CELL_PARAMETERS angstrom
-5.481 4.762 -3.025
-5.676 -4.361 3.419
5.807 2.977 4.391
ATOMIC_POSITIONS crystal
S 0.253 0.260 0.506
S 0.241 0.735 0.481
S 0.247 0.265 0.006
S 0.753 0.735 0.994
Ce 0.000 0.000 0.500
S 0.759 0.265 0.006
Tb 0.500 0.500 0.000
Sc 0.000 0.500 0.000
Ce 0.500 0.000 0.000
S 0.747 0.740 0.494
S 0.241 0.735 0.994
Ce 0.500 0.000 0.500
Tb 0.500 0.500 0.500
S 0.759 0.265 0.519
Ce 0.000 0.000 0.000
Tb 0.000 0.500 0.500

Entry 4:
! PBE CeTh4Sc3S8, relaxed; values from VASP
! Space-group type = No. 166
! Uncorrected formation energy = -178.28 kJ/mol of atoms
! D(E_F) = 8.949 states/eV/cell
&SYSTEM
  ibrav = 0, nat = 16, ntyp = 4
/
ATOMIC_SPECIES
S 32.06 S.upf
Th 232.04 Th.upf
Ce 140.12 Ce.upf
Sc 44.96 Sc.upf
CELL_PARAMETERS angstrom
7.695 0.000 0.000
0.000 7.966 0.186
-3.848 -3.843 5.444
ATOMIC_POSITIONS crystal
S 0.740 0.719 0.480
Th 0.500 0.000 0.000
S 0.248 0.726 0.978
Th 0.000 0.000 0.000
Th 0.000 0.000 0.500
Ce 0.000 0.500 0.000
S 0.730 0.726 0.978
S 0.270 0.274 0.022
Th 0.500 0.000 0.500
S 0.752 0.274 0.504
Sc 0.500 0.500 0.000
Sc 0.000 0.500 0.500
S 0.248 0.726 0.496
S 0.260 0.281 0.520
Sc 0.500 0.500 0.500
S 0.752 0.274 0.022

Entry 5:
! PBE CeTh2ScS4, relaxed; values from VASP
! Space-group type = No. 10
! Uncorrected formation energy = -180.53 kJ/mol of atoms
! D(E_F) = 6.948 states/eV/cell
&SYSTEM
  ibrav = 0, nat = 8, ntyp = 4
/
ATOMIC_SPECIES
Ce 140.12 Ce.upf
S 32.06 S.upf
Sc 44.96 Sc.upf
Th 232.04 Th.upf
CELL_PARAMETERS angstrom
-2.229 2.828 1.590
0.922 -2.799 6.272
5.516 2.744 2.852
ATOMIC_POSITIONS crystal
Ce 0.000 0.500 0.500
S 0.000 0.728 0.768
S 0.500 0.736 0.243
Sc 0.500 0.500 0.000
Th 0.500 0.000 0.500
S 0.000 0.272 0.232
S 0.500 0.264 0.757
Th 0.000 0.000 0.000

Entry 6:
! PBE Ce3ScTl4S8, relaxed; values from VASP
! Space-group type = No. 166
! Uncorrected formation energy = -132.72 kJ/mol of atoms
! D(E_F) = 20.299 states/eV/cell
&SYSTEM
  ibrav = 0, nat = 16, ntyp = 4
/
ATOMIC_SPECIES
S 32.06 S.upf
Tl 204.38 Tl.upf
Sc 44.96 Sc.upf
Ce 140.12 Ce.upf
CELL_PARAMETERS angstrom
-5.351 -4.762 -3.970
6.414 -5.910 -1.556
-1.392 2.113 7.789
ATOMIC_POSITIONS crystal
S 0.749 0.695 0.972
Tl 0.500 0.000 0.000
Tl 0.500 0.000 0.500
Sc 0.000 0.500 0.000
S 0.265 0.296 0.530
Ce 0.500 0.500 0.000
S 0.777 0.305 0.028
S 0.777 0.305 0.555
Tl 0.000 0.000 0.000
S 0.223 0.695 0.972
Tl 0.000 0.000 0.500
S 0.223 0.695 0.445
S 0.735 0.704 0.470
Ce 0.500 0.500 0.500
S 0.251 0.305 0.028
Ce 0.000 0.500 0.500

Entry 7:
! PBE CeSc4TlS8, relaxed; values from VASP
! Space-group type = No. 160
! Uncorrected formation energy = -157.99 kJ/mol of atoms
! D(E_F) = 8.676 states/eV/cell
&SYSTEM
  ibrav = 0, nat = 14, ntyp = 4
/
ATOMIC_SPECIES
S 32.06 S.upf
Sc 44.96 Sc.upf
Ce 140.12 Ce.upf
Tl 204.38 Tl.upf
CELL_PARAMETERS angstrom
7.742 0.000 0.000
3.871 6.705 0.000
3.871 2.235 6.748
ATOMIC_POSITIONS crystal
S 0.247 0.247 0.710
S 0.757 0.757 0.729
S 0.797 0.247 0.710
S 0.237 0.747 0.268
Sc 0.488 0.004 0.505
S 0.247 0.797 0.710
Sc 0.628 0.628 0.117
Ce 0.003 0.003 0.990
S 0.228 0.228 0.315
Tl 0.366 0.366 0.901
Sc 0.004 0.488 0.505
S 0.747 0.237 0.268
Sc 0.004 0.004 0.505
S 0.747 0.747 0.268

Entry 8:
! PBE Ce3ScTl3S8, relaxed; values from VASP
! Space-group type = No. 166
! Uncorrected formation energy = -142.88 kJ/mol of atoms
! D(E_F) = 13.221 states/eV/cell
&SYSTEM
  ibrav = 0, nat = 15, ntyp = 4
/
ATOMIC_SPECIES
S 32.06 S.upf
Tl 204.38 Tl.upf
Ce 140.12 Ce.upf
Sc 44.96 Sc.upf
CELL_PARAMETERS angstrom
8.151 0.000 0.000
-4.075 7.059 -0.025
0.000 -4.680 7.529
ATOMIC_POSITIONS crystal
S 0.748 0.969 0.690
S 0.779 0.558 0.310
S 0.734 0.469 0.703
Tl 0.000 0.000 0.000
Ce 0.500 0.000 0.500
S 0.779 0.031 0.310
Ce 0.500 0.500 0.500
S 0.221 0.969 0.690
S 0.266 0.531 0.297
Sc 0.000 0.000 0.500
S 0.252 0.031 0.310
S 0.221 0.442 0.690
Ce 0.000 0.500 0.500
Tl 0.500 0.500 0.000
Tl 0.000 0.500 0.000

Entry 9:
! PBE CeTmScS3, relaxed; values from VASP
! Space-group type = No. 11
! Uncorrected formation energy = -169.58 kJ/mol of atoms
! D(E_F) = 14.894 states/eV/cell
&SYSTEM
  ibrav = 0, nat = 12, ntyp = 4
/
ATOMIC_SPECIES
Sc 44.96 Sc.upf
Tm 168.93 Tm.upf
S 32.06 S.upf
Ce 140.12 Ce.upf
CELL_PARAMETERS angstrom
3.844 0.000 0.000
0.000 7.552 -0.124
0.000 -2.158 9.200
ATOMIC_POSITIONS crystal
Sc 0.750 0.840 0.384
Tm 0.750 0.327 0.907
Tm 0.250 0.673 0.093
S 0.750 0.915 0.120
S 0.250 0.798 0.547
S 0.250 0.085 0.880
S 0.750 0.487 0.196
Ce 0.750 0.806 0.782
Ce 0.250 0.194 0.218
S 0.750 0.202 0.453
S 0.250 0.513 0.804
Sc 0.250 0.160 0.616

Entry 10:
! PBE Ce2TmScS5, relaxed; values from VASP
! Space-group type = No. 123
! Uncorrected formation energy = -143.44 kJ/mol of atoms
! D(E_F) = 18.570 states/eV/cell
&SYSTEM
  ibrav = 0, nat = 9, ntyp = 4
/
ATOMIC_SPECIES
Sc 44.96 Sc.upf
S 32.06 S.upf
Ce 140.12 Ce.upf
Tm 168.93 Tm.upf
CELL_PARAMETERS angstrom
-4.111 1.748 -1.985
-2.216 -4.279 0.822
-2.935 3.235 8.927
ATOMIC_POSITIONS crystal
Sc 0.000 0.000 0.000
S 0.000 0.000 0.762
S 0.500 0.500 0.000
Ce 0.500 0.500 0.708
Tm 0.000 0.000 0.500
S 0.000 0.500 0.500
S 0.500 0.000 0.500
Ce 0.500 0.500 0.292
S 0.000 0.000 0.238

Entry 11:
! PBE CeTm4ScS8, relaxed; values from VASP
! Space-group type = No. 160
! Uncorrected formation energy = -181.13 kJ/mol of atoms
! D(E_F) = 12.430 states/eV/cell
&SYSTEM
  ibrav = 0, nat = 14, ntyp = 4
/
ATOMIC_SPECIES
S 32.06 S.upf
Ce 140.12 Ce.upf
Sc 44.96 Sc.upf
Tm 168.93 Tm.upf
CELL_PARAMETERS angstrom
8.014 0.000 0.000
4.007 6.940 0.000
4.007 2.313 6.408
ATOMIC_POSITIONS crystal
S 0.239 0.239 0.283
S 0.225 0.761 0.252
S 0.761 0.225 0.252
S 0.232 0.232 0.745
Ce 0.379 0.379 0.862
Sc 0.000 0.000 0.000
S 0.761 0.761 0.252
S 0.792 0.232 0.745
Tm 0.622 0.622 0.134
Tm 0.500 0.000 0.500
S 0.232 0.792 0.745
Tm 0.000 0.000 0.500
Tm 0.000 0.500 0.500
S 0.756 0.756 0.731

Entry 12:
! PBE Ce2TmScS4, relaxed; values from VASP
! Space-group type = No. 10
! Uncorrected formation energy = -190.24 kJ/mol of atoms
! D(E_F) = 10.558 states/eV/cell
&SYSTEM
  ibrav = 0, nat = 8, ntyp = 4
/
ATOMIC_SPECIES
S 32.06 S.upf
Tm 168.93 Tm.upf
Ce 140.12 Ce.upf
Sc 44.96 Sc.upf
CELL_PARAMETERS angstrom
-2.417 1.451 2.629
3.339 -3.191 4.830
2.776 6.228 -0.884
ATOMIC_POSITIONS crystal
S 0.500 0.237 0.226
Tm 0.500 0.500 0.000
Ce 0.500 0.000 0.500
S 0.500 0.763 0.774
Ce 0.000 0.500 0.500
Sc 0.000 0.000 0.000
S 0.000 0.748 0.229
S 0.000 0.252 0.771